A plane-wave DFT calculation with SCAN was carried out for Rb3C2 at its PBEsol-relaxed geometry.

For the total moment, the calculation gives 1.000 μB/atom. The value obtained for the density of states at the Fermi level is 11.2 states/eV per cell. As for the formation energy from the elements: 1603.9 meV per atom.

The structure belongs to space group Fdd2 (No. 43); the cell edges are 13.2025, 13.3151 and 9.0205 Å and the angles 90.00°, 90.00° and 90.00°. The distinct sites, in fractional coordinates, are Rb at (0.0000, 0.0000, 0.0000), Rb at (0.0427, 0.3375, 0.8330) and C at (0.1019, 0.2908, 0.5133).


A plane-wave DFT calculation with SCAN was carried out for CoSbCl2 at its PBEsol-relaxed geometry.

For the total moment, the calculation gives 0.509 μB/atom. The value obtained for the energy above the most stable polymorph in this dataset is 0.426 eV/atom. The value obtained for the density of states at the Fermi level is 2.3 states/eV per cell. Its uncorrected formation energy is 94.3 meV/atom.

The structure belongs to space group Pmmm (No. 47); the cell edges are 3.1365, 4.4438 and 5.4360 Å and the angles 90.00°, 90.00° and 90.00°. The distinct sites, in fractional coordinates, are Co at (0.0000, 0.0000, 0.0000), Sb at (0.5000, 0.0000, 0.5000), Cl at (0.0000, 0.5000, 0.5000) and Cl at (0.5000, 0.5000, 0.0000).


Which formula does entry 1 have? Rb3C2